1.
Below is a geometry-optimized MnPSe2 structure, with properties calculated at the PBE level.

Lattice parameters (Å, degrees): 5.381 5.381 13.644 90.00 90.00 90.00
Space group I-42d (No. 122)
One atom of each set of equivalent atoms:
Mn (0.000, 0.000, 0.000) [4 per cell]
P (0.000, 0.000, 0.500) [4 per cell]
Se (0.240, 0.250, 0.625) [8 per cell]

total DFT energy (no corrections) = -20.89 eV/f.u.
E_form (uncorrected) = 0.66 eV per formula unit

=====

2.
Below is a geometry-optimized Rb2MgSn3Pb4 structure, with properties calculated at the PBE level.

Lattice parameters (Å, degrees): 5.166 5.166 13.506 90.00 90.00 90.00
Space group P-4m2 (No. 115)
One atom of each set of equivalent atoms:
Rb (0.000, 0.500, 0.247) [2 per cell]
Mg (0.500, 0.500, 0.000) [1 per cell]
Sn (0.000, 0.000, 0.000) [1 per cell]
Sn (0.000, 0.500, 0.634) [2 per cell]
Pb (0.000, 0.000, 0.500) [1 per cell]
Pb (0.000, 0.500, 0.870) [2 per cell]
Pb (0.500, 0.500, 0.500) [1 per cell]

total DFT energy (no corrections) = -31.48 eV/f.u.
formation energy from the elements = -107 kJ/mol of formula units

=====

3.
Below is a geometry-optimized Zr6Pb3C structure, with properties calculated at the PBE level.

Lattice parameters (Å, degrees): 5.954 7.835 11.382 90.00 120.49 90.00
Space group P2_1/c (No. 14)
One atom of each set of equivalent atoms:
Zr (0.081, 0.041, 0.216) [4 per cell]
Zr (0.167, 0.735, 0.055) [4 per cell]
Zr (0.393, 0.140, 0.045) [4 per cell]
Pb (0.321, 0.107, 0.729) [4 per cell]
Pb (0.500, 0.000, 0.500) [2 per cell]
C (0.000, 0.000, 0.000) [2 per cell]

total DFT energy (no corrections) = -73.76 eV/f.u.
formation energy from the elements = -204 kJ/mol of formula units

=====

4.
Below is a geometry-optimized Sr2FeIr structure, with properties calculated at the PBE level.

Lattice parameters (Å, degrees): 3.5929 3.5929 28.1755 90.00 90.00 120.00
Space group R-3m (No. 166, hexagonal axes)
One atom of each set of equivalent atoms:
Sr (0.0000, 0.0000, 0.2435) [6 per cell]
Fe (0.0000, 0.0000, 0.0000) [3 per cell]
Ir (0.0000, 0.0000, 0.5000) [3 per cell]

total DFT energy (no corrections) = -17.64 eV/f.u.
formation energy from the elements = 294 kJ/mol of formula units

=====

5.
Below is a geometry-optimized Tm3Tl2Bi structure, with properties calculated at the PBE level.

Lattice parameters (Å, degrees): 3.524 5.803 17.758 90.00 90.00 90.00
Space group Immm (No. 71)
One atom of each set of equivalent atoms:
Tm (0.000, 0.000, 0.000) [2 per cell]
Tm (0.000, 0.500, 0.175) [4 per cell]
Tl (0.000, 0.500, 0.348) [4 per cell]
Bi (0.000, 0.500, 0.000) [2 per cell]

total DFT energy (no corrections) = -22.85 eV/f.u.
formation energy from the elements = -79 kJ/mol of formula units

=====

6.
Below is a geometry-optimized CaRe2Si structure, with properties calculated at the PBE level.

Lattice parameters (Å, degrees): 4.514 4.514 6.348 90.00 90.00 90.00
Space group I-4m2 (No. 119)
One atom of each set of equivalent atoms:
Ca (0.000, 0.000, 0.000) [2 per cell]
Re (0.000, 0.000, 0.500) [2 per cell]
Re (0.000, 0.500, 0.250) [2 per cell]
Si (0.000, 0.500, 0.750) [2 per cell]

total DFT energy (no corrections) = -30.63 eV/f.u.
E_form (uncorrected) = 1.69 eV per formula unit